[1]
Ta2IrAu | Alexandria via LeMat-Bulk | PBE-GGA | relaxed; calculated volume = 68.3 Å³/cell; spin magnetization = 0.00 μB/f.u.; calculated formation energy = -0.08 eV/atom; final energy = -9.04 eV/atom
1.0
1.446 0.835 9.427
-1.446 0.835 9.427
0.000 -1.670 9.427
Ta Ir Au
2 1 1
Cartesian
0.000 0.000 6.969
0.000 0.000 21.313
0.000 0.000 14.141
0.000 0.000 0.000


[2]
TaIr2Au | Alexandria via LeMat-Bulk | PBE-GGA | relaxed; calculated volume = 64.2 Å³/cell; spin magnetization = 0.00 μB/f.u.; calculated formation energy = -0.15 eV/atom; final energy = -8.36 eV/atom
1.0
2.827 0.000 0.000
0.000 4.048 0.000
0.000 0.000 5.610
Ta Ir Au
1 2 1
Cartesian
0.000 0.000 0.000
0.000 0.000 2.949
1.414 2.024 4.319
1.414 2.024 1.521


Question: What is the final energy in the first record?
Answer: -9.04 eV/atom